First-principles (PBE-GGA) data for a relaxed Ac2Al6Cu3 crystal, as listed in Alexandria.

Computed properties:
energy relative to the elements: -314 meV per atom
total energy: -4.220 eV/atom
crystal system: hexagonal
total magnetic moment: 0.0 μB/f.u.

abc: 7.9499 7.9499 4.1478
angles: 90.00 90.00 120.00
With the nearest neighbours (Å) after each atom.
Fractional coordinates of all 11 atoms:
Ac 0.3333 0.6667 0.0000  6 Cu 3.28, 9 Al 3.36-3.49
Ac 0.6667 0.3333 0.0000  6 Cu 3.28, 9 Al 3.36-3.49
Al 0.0000 0.1912 0.0000  2 Cu 2.48, 2 Al 2.63
Al 0.0000 0.7029 0.5000  3 Cu 2.66-2.70, 4 Al 2.93
Al 0.1912 0.0000 0.0000  2 Cu 2.48, 2 Al 2.63
Al 0.2971 0.2971 0.5000  3 Cu 2.66-2.70, 4 Al 2.93
Al 0.7029 0.0000 0.5000  3 Cu 2.66-2.70, 4 Al 2.93
Al 0.8088 0.8088 0.0000  2 Cu 2.48, 2 Al 2.63
Cu 0.0000 0.3627 0.5000  5 Al 2.48-2.70
Cu 0.3627 0.0000 0.5000  5 Al 2.48-2.70
Cu 0.6373 0.6373 0.5000  5 Al 2.48-2.70


First-principles (PBE-GGA) data for a relaxed TlPtN crystal, as listed in Alexandria.

Computed properties:
total energy: -5.487 eV/atom
energy relative to the elements, uncorrected: 26 kJ/mol of formula units
crystal system: triclinic
total magnetic moment: 0.0 μB/f.u.

abc: 4.5589 4.8376 7.6540
angles: 77.23 80.17 71.32
With the nearest neighbours (Å) after each atom.
Fractional coordinates of all 6 atoms:
Tl 0.1427 0.1434 0.1332  4 Pt 2.86-3.06
Tl 0.8573 0.8566 0.8668  4 Pt 2.86-3.06
Pt 0.4969 0.4856 0.8348  1 N 1.97
Pt 0.5031 0.5144 0.1652  1 N 1.97
N 0.4974 0.4906 0.5762  1 N 1.15
N 0.5026 0.5094 0.4238  1 N 1.15